(1)
This record from the Alexandria database describes a relaxed Tm2Tc12P7 crystal. The functional is PBE.

Output
energy of formation: -0.5923 eV per atom
VASP energy: -0.3214 hartree per atom
total magnetization: 0.00 Bohr magnetons per cell
V: 14.8 Å³ per atom

Cell: 9.5299 9.5299 3.9505 Å, 90.00 90.00 120.00°
Space group P-6 (No. 174)
Symmetry-distinct sites (fractional):
1 Tm 0.0000 0.0000 0.0000 [1 per cell]
2 Tm 0.3333 0.6667 0.5000 [1 per cell]
3 Tc 0.0666 0.3001 0.5000 [3 per cell]
4 Tc 0.0997 0.7243 0.0000 [3 per cell]
5 Tc 0.3926 0.1759 0.0000 [3 per cell]
6 Tc 0.5441 0.4269 0.5000 [3 per cell]
7 P 0.0732 0.4652 0.0000 [3 per cell]
8 P 0.2636 0.2049 0.5000 [3 per cell]
9 P 0.6667 0.3333 0.0000 [1 per cell]



(2)
This record from the Alexandria database describes a relaxed Ta2MnPt crystal. The functional is PBE.

Output
energy of formation: -0.0242 eV per atom
VASP energy: -0.3584 hartree per atom
total magnetization: 0.00 Bohr magnetons per cell
V: 16.2 Å³ per atom

Cell: 3.0200 3.0200 24.5365 Å, 90.00 90.00 120.00°
Space group R-3m (No. 166, hexagonal axes)
Symmetry-distinct sites (fractional):
1 Ta 0.0000 0.0000 0.2423 [6 per cell]
2 Mn 0.0000 0.0000 0.5000 [3 per cell]
3 Pt 0.0000 0.0000 0.0000 [3 per cell]